Arrangement A

Crystalline Ti2Zn2Ru at its relaxed geometry. Source: Alexandria, functional PBE-GGA.

a = 6.7266 Å, b = 6.7266 Å, c = 3.3406 Å
α = 90.00°, β = 90.00°, γ = 90.00°
Last column: nearest neighbours and their distance in Å.
Fractional positions:
Zn (0.3741, 0.8741, 0.0000)  1 Zn 2.40, 6 Ti 2.50-2.66, 2 Ru 2.65
Zn (0.1259, 0.3741, 0.0000)  1 Zn 2.40, 6 Ti 2.50-2.66, 2 Ru 2.65
Zn (0.6259, 0.1259, 0.0000)  1 Zn 2.40, 6 Ti 2.50-2.66, 2 Ru 2.65
Zn (0.8741, 0.6259, 0.0000)  1 Zn 2.40, 6 Ti 2.50-2.66, 2 Ru 2.65
Ti (0.3220, 0.1780, 0.5000)  6 Zn 2.50-2.66
Ti (0.8220, 0.3220, 0.5000)  6 Zn 2.50-2.66
Ti (0.6780, 0.8220, 0.5000)  6 Zn 2.50-2.66
Ti (0.1780, 0.6780, 0.5000)  6 Zn 2.50-2.66
Ru (0.0000, 0.0000, 0.0000)  4 Zn 2.65
Ru (0.5000, 0.5000, 0.0000)  4 Zn 2.65

Crystal system: tetragonal



Arrangement B

Crystalline Ti2Zn2Ru at its relaxed geometry. Source: Alexandria, functional PBE-GGA.

a = 2.9840 Å, b = 3.0349 Å, c = 8.9870 Å
α = 80.28°, β = 90.00°, γ = 90.00°
Last column: nearest neighbours and their distance in Å.
Fractional positions:
Ru (0.0000, 0.0000, 0.0000)  8 Ti 2.64
Zn (0.0000, 0.8089, 0.3823)  2 Zn 2.58, 4 Ti 2.80
Zn (0.0000, 0.1911, 0.6177)  2 Zn 2.58, 4 Ti 2.80
Ti (0.5000, 0.4114, 0.1771)  4 Ru 2.64, 4 Zn 2.80
Ti (0.5000, 0.5886, 0.8229)  4 Ru 2.64, 4 Zn 2.80

Crystal system: orthorhombic



Stability, lowest: arrangement A



Arrangement A

Crystalline TiZn2Ru at its relaxed geometry. Source: Alexandria, functional PBE-GGA.

a = 3.6164 Å, b = 3.6164 Å, c = 9.9424 Å
α = 79.52°, β = 79.52°, γ = 90.00°
Last column: nearest neighbours and their distance in Å.
Fractional positions:
Ru (0.0000, 0.0000, 0.0000)  4 Ti 2.56, 4 Zn 2.71
Ru (0.7500, 0.2500, 0.5000)  4 Ti 2.56, 4 Zn 2.71
Ti (0.5000, 0.5000, 0.0000)  4 Ru 2.56, 4 Zn 2.74
Ti (0.2500, 0.7500, 0.5000)  4 Ru 2.56, 4 Zn 2.74
Zn (0.1127, 0.6250, 0.2500)  4 Zn 2.50-2.62, 2 Ru 2.71, 2 Ti 2.74
Zn (0.3750, 0.3627, 0.7500)  4 Zn 2.50-2.62, 2 Ru 2.71, 2 Ti 2.74
Zn (0.8750, 0.8873, 0.7500)  4 Zn 2.50-2.62, 2 Ru 2.71, 2 Ti 2.74
Zn (0.6373, 0.1250, 0.2500)  4 Zn 2.50-2.62, 2 Ru 2.71, 2 Ti 2.74

Crystal system: tetragonal



Arrangement B

Crystalline TiZn2Ru at its relaxed geometry. Source: Alexandria, functional PBE-GGA.

a = 4.3328 Å, b = 4.3328 Å, c = 4.3328 Å
α = 60.00°, β = 60.00°, γ = 60.00°
Last column: nearest neighbours and their distance in Å.
Fractional positions:
Zn (0.2500, 0.2500, 0.2500)  4 Ru 2.65, 4 Ti 2.65
Zn (0.7500, 0.7500, 0.7500)  4 Ti 2.65, 4 Ru 2.65
Ru (0.5000, 0.5000, 0.5000)  8 Zn 2.65
Ti (0.0000, 0.0000, 0.0000)  8 Zn 2.65

Crystal system: cubic



Stability, lowest: arrangement A



Arrangement A

Crystalline ZrTiRu at its relaxed geometry. Source: Alexandria, functional PBE-GGA.

a = 13.8751 Å, b = 4.6426 Å, c = 3.2225 Å
α = 90.00°, β = 90.00°, γ = 90.00°
Last column: nearest neighbours and their distance in Å.
Fractional positions:
Ru (0.1585, 0.0000, 0.0000)  2 Ti 2.73, 6 Zr 2.83-2.87
Ru (0.6585, 0.5000, 0.0000)  2 Ti 2.73, 6 Zr 2.83-2.87
Ru (0.8415, 0.0000, 0.0000)  2 Ti 2.73, 6 Zr 2.83-2.87
Ru (0.3415, 0.5000, 0.0000)  2 Ti 2.73, 6 Zr 2.83-2.87
Zr (0.8294, 0.5000, 0.5000)  6 Ru 2.83-2.87, 2 Ti 2.86
Zr (0.1706, 0.5000, 0.5000)  6 Ru 2.83-2.87, 2 Ti 2.86
Zr (0.3294, 0.0000, 0.5000)  6 Ru 2.83-2.87, 2 Ti 2.86
Zr (0.6706, 0.0000, 0.5000)  6 Ru 2.83-2.87, 2 Ti 2.86
Ti (0.0000, 0.0000, 0.5000)  4 Ru 2.73, 4 Ti 2.83
Ti (0.5000, 0.5000, 0.5000)  4 Ru 2.73, 4 Ti 2.83
Ti (0.5000, 0.0000, 0.0000)  4 Ti 2.83, 4 Zr 2.86
Ti (0.0000, 0.5000, 0.0000)  4 Ti 2.83, 4 Zr 2.86

Crystal system: orthorhombic



Arrangement B

Crystalline ZrTiRu at its relaxed geometry. Source: Alexandria, functional PBE-GGA.

a = 4.4970 Å, b = 4.4970 Å, c = 6.9315 Å
α = 71.07°, β = 71.07°, γ = 60.00°
Last column: nearest neighbours and their distance in Å.
Fractional positions:
Zr (0.6287, 0.6287, 0.1138)  3 Ru 2.70, 3 Zr 2.98
Zr (0.3713, 0.3713, 0.8862)  3 Ru 2.70, 3 Zr 2.98
Ti (0.2060, 0.2060, 0.3821)  4 Ru 2.49-2.77
Ti (0.7940, 0.7940, 0.6179)  4 Ru 2.49-2.77
Ru (0.9234, 0.9234, 0.2299)  4 Ti 2.49-2.77, 3 Zr 2.70
Ru (0.0766, 0.0766, 0.7701)  4 Ti 2.49-2.77, 3 Zr 2.70

Crystal system: trigonal



Arrangement C

Crystalline ZrTiRu at its relaxed geometry. Source: Alexandria, functional PBE-GGA.

a = 5.5598 Å, b = 4.4772 Å, c = 10.0518 Å
α = 90.00°, β = 123.22°, γ = 90.00°
Last column: nearest neighbours and their distance in Å.
Fractional positions:
Zr (0.2528, 0.5000, 0.6705)  4 Ru 2.76-2.80, 2 Ti 2.95, 1 Zr 3.02
Zr (0.7472, 0.5000, 0.3295)  4 Ru 2.76-2.80, 2 Ti 2.95, 1 Zr 3.02
Zr (0.7472, 0.0000, 0.8295)  4 Ru 2.76-2.80, 2 Ti 2.95, 1 Zr 3.02
Zr (0.2528, 0.0000, 0.1705)  4 Ru 2.76-2.80, 2 Ti 2.95, 1 Zr 3.02
Ti (0.7735, 0.0000, 0.5281)  3 Ru 2.68-2.72, 2 Ti 2.77-2.87, 2 Zr 2.95
Ti (0.2265, 0.5000, 0.9719)  3 Ru 2.68-2.72, 2 Ti 2.77-2.87, 2 Zr 2.95
Ti (0.7735, 0.5000, 0.0281)  3 Ru 2.68-2.72, 2 Ti 2.77-2.87, 2 Zr 2.95
Ti (0.2265, 0.0000, 0.4719)  3 Ru 2.68-2.72, 2 Ti 2.77-2.87, 2 Zr 2.95
Ru (0.7553, 0.5000, 0.6689)  3 Ti 2.68-2.72, 4 Zr 2.76-2.80
Ru (0.2447, 0.5000, 0.3311)  3 Ti 2.68-2.72, 4 Zr 2.76-2.80
Ru (0.7553, 0.0000, 0.1689)  3 Ti 2.68-2.72, 4 Zr 2.76-2.80
Ru (0.2447, 0.0000, 0.8311)  3 Ti 2.68-2.72, 4 Zr 2.76-2.80

Crystal system: monoclinic



Stability, lowest: arrangement B



Arrangement A

Crystalline ZrTiRu at its relaxed geometry. Source: Alexandria, functional PBE-GGA.

a = 3.2193 Å, b = 14.0145 Å, c = 4.6303 Å
α = 90.00°, β = 90.00°, γ = 90.00°
Last column: nearest neighbours and their distance in Å.
Fractional positions:
Ti (0.5000, 0.7649, 0.2500)  2 Ru 2.64, 4 Ti 2.85
Ti (0.0000, 0.2649, 0.2500)  2 Ru 2.64, 4 Ti 2.85
Ti (0.0000, 0.7351, 0.7500)  2 Ru 2.64, 4 Ti 2.85
Ti (0.5000, 0.2351, 0.7500)  2 Ru 2.64, 4 Ti 2.85
Zr (0.5000, 0.0826, 0.2500)  6 Ru 2.82-2.86, 4 Ti 3.02-3.15
Zr (0.5000, 0.9174, 0.7500)  6 Ru 2.82-2.86, 4 Ti 3.02-3.15
Zr (0.0000, 0.5826, 0.2500)  6 Ru 2.82-2.86, 4 Ti 3.02-3.15
Zr (0.0000, 0.4174, 0.7500)  6 Ru 2.82-2.86, 4 Ti 3.02-3.15
Ru (0.5000, 0.4141, 0.2500)  2 Ti 2.64, 6 Zr 2.82-2.86
Ru (0.0000, 0.0859, 0.7500)  2 Ti 2.64, 6 Zr 2.82-2.86
Ru (0.5000, 0.5859, 0.7500)  2 Ti 2.64, 6 Zr 2.82-2.86
Ru (0.0000, 0.9141, 0.2500)  2 Ti 2.64, 6 Zr 2.82-2.86

Crystal system: orthorhombic



Arrangement B

Crystalline ZrTiRu at its relaxed geometry. Source: Alexandria, functional PBE-GGA.

a = 4.6101 Å, b = 7.2233 Å, c = 3.2298 Å
α = 90.00°, β = 90.00°, γ = 90.00°
Last column: nearest neighbours and their distance in Å.
Fractional positions:
Zr (0.0000, 0.1466, 0.0000)  5 Ru 2.67-2.87
Zr (0.5000, 0.8534, 0.5000)  5 Ru 2.67-2.87
Ti (0.5000, 0.4856, 0.0000)  2 Ru 2.49
Ti (0.0000, 0.5144, 0.5000)  2 Ru 2.49
Ru (0.5000, 0.2235, 0.5000)  2 Ti 2.49, 1 Zr 2.67
Ru (0.0000, 0.7765, 0.0000)  2 Ti 2.49, 1 Zr 2.67

Crystal system: orthorhombic



Stability, lowest: arrangement B



Arrangement A

Crystalline ZrTiRu at its relaxed geometry. Source: Alexandria, functional PBE-GGA.

a = 4.4063 Å, b = 4.4058 Å, c = 4.4059 Å
α = 90.01°, β = 119.97°, γ = 119.98°
Last column: nearest neighbours and their distance in Å.
Fractional positions:
Zr (0.9444, 0.9722, 0.9166)  4 Ru 2.70
Ru (0.4444, 0.2222, 0.6666)  4 Ti 2.70, 4 Zr 2.70
Ti (0.9444, 0.4722, 0.4167)  4 Ru 2.70

Crystal system: cubic



Arrangement B

Crystalline ZrTiRu at its relaxed geometry. Source: Alexandria, functional PBE-GGA.

a = 5.6153 Å, b = 4.4237 Å, c = 10.1024 Å
α = 90.00°, β = 123.71°, γ = 90.00°
Last column: nearest neighbours and their distance in Å.
Fractional positions:
Zr (0.9249, 0.0000, 0.2423)  4 Ru 2.74-2.87, 3 Ti 2.91-3.03, 1 Zr 3.06
Zr (0.7343, 0.0000, 0.8935)  3 Ru 2.77-2.81, 4 Ti 2.80-2.94, 1 Zr 3.06
Zr (0.9249, 0.5000, 0.7423)  4 Ru 2.74-2.87, 3 Ti 2.91-3.03, 1 Zr 3.06
Zr (0.7343, 0.5000, 0.3935)  3 Ru 2.77-2.81, 4 Ti 2.80-2.94, 1 Zr 3.06
Ti (0.2860, 0.0000, 0.9395)  3 Ru 2.63-2.67, 4 Zr 2.80-2.91
Ti (0.2860, 0.5000, 0.4395)  3 Ru 2.63-2.67, 4 Zr 2.80-2.91
Ti (0.1135, 0.0000, 0.5875)  4 Ru 2.64-2.89, 2 Zr 2.94
Ti (0.1135, 0.5000, 0.0875)  4 Ru 2.64-2.89, 2 Zr 2.94
Ru (0.4012, 0.0000, 0.2302)  3 Ti 2.63-2.64, 4 Zr 2.74-2.87
Ru (0.5905, 0.5000, 0.0791)  4 Ti 2.67-2.89, 3 Zr 2.77-2.81
Ru (0.4012, 0.5000, 0.7302)  3 Ti 2.63-2.64, 4 Zr 2.74-2.87
Ru (0.5905, 0.0000, 0.5791)  4 Ti 2.67-2.89, 3 Zr 2.77-2.81

Crystal system: monoclinic



Stability, lowest: arrangement A



Arrangement A

Crystalline ZrTiRu at its relaxed geometry. Source: Alexandria, functional PBE-GGA.

a = 3.1901 Å, b = 3.1901 Å, c = 10.1793 Å
α = 90.00°, β = 90.00°, γ = 90.00°
Last column: nearest neighbours and their distance in Å.
Fractional positions:
Ti (0.5000, 0.5000, 0.4030)  4 Ru 2.67, 4 Zr 2.97
Ti (0.0000, 0.0000, 0.9030)  4 Ru 2.67, 4 Zr 2.97
Zr (0.0000, 0.0000, 0.2127)  4 Ru 2.84, 5 Ti 2.97-3.15
Zr (0.5000, 0.5000, 0.7127)  4 Ru 2.84, 5 Ti 2.97-3.15
Ru (0.5000, 0.5000, 0.0427)  4 Ti 2.67, 4 Zr 2.84
Ru (0.0000, 0.0000, 0.5427)  4 Ti 2.67, 4 Zr 2.84

Crystal system: tetragonal



Arrangement B

Crystalline ZrTiRu at its relaxed geometry. Source: Alexandria, functional PBE-GGA.

a = 6.4180 Å, b = 3.1952 Å, c = 10.6295 Å
α = 90.00°, β = 107.66°, γ = 90.00°
Last column: nearest neighbours and their distance in Å.
Fractional positions:
Ru (0.2623, 0.5000, 0.4991)  4 Ti 2.68-2.70, 4 Zr 2.79-2.84
Ru (0.7377, 0.0000, 0.0009)  4 Ti 2.68-2.70, 4 Zr 2.79-2.84
Ru (0.7377, 0.5000, 0.5009)  4 Ti 2.68-2.70, 4 Zr 2.79-2.84
Ru (0.2623, 0.0000, 0.9991)  4 Ti 2.68-2.70, 4 Zr 2.79-2.84
Ti (0.5711, 0.5000, 0.1518)  4 Ru 2.68-2.70, 2 Zr 2.97, 2 Ti 2.98
Ti (0.5711, 0.0000, 0.6518)  4 Ru 2.68-2.70, 2 Zr 2.97, 2 Ti 2.98
Ti (0.4289, 0.0000, 0.3482)  4 Ru 2.68-2.70, 2 Zr 2.97, 2 Ti 2.98
Ti (0.4289, 0.5000, 0.8482)  4 Ru 2.68-2.70, 2 Zr 2.97, 2 Ti 2.98
Zr (0.0860, 0.5000, 0.1572)  4 Ru 2.79-2.84, 2 Ti 2.97, 2 Zr 3.00
Zr (0.0860, 0.0000, 0.6572)  4 Ru 2.79-2.84, 2 Ti 2.97, 2 Zr 3.00
Zr (0.9140, 0.5000, 0.8428)  4 Ru 2.79-2.84, 2 Ti 2.97, 2 Zr 3.00
Zr (0.9140, 0.0000, 0.3428)  4 Ru 2.79-2.84, 2 Ti 2.97, 2 Zr 3.00

Crystal system: monoclinic



Stability, lowest: arrangement B



Arrangement A

Crystalline ZrTi3Ru at its relaxed geometry. Source: Alexandria, functional PBE-GGA.

a = 4.6433 Å, b = 4.6433 Å, c = 4.6433 Å
α = 90.00°, β = 90.00°, γ = 90.00°
Last column: nearest neighbours and their distance in Å.
Fractional positions:
Ti (0.0000, 0.5000, 0.0000)  2 Zr 2.32
Ti (0.0000, 0.0000, 0.5000)  2 Zr 2.32
Ti (0.5000, 0.0000, 0.0000)  2 Zr 2.32
Ru (0.5000, 0.5000, 0.5000)  12 Ti 3.28
Zr (0.0000, 0.0000, 0.0000)  6 Ti 2.32

Crystal system: cubic



Arrangement B

Crystalline ZrTi3Ru at its relaxed geometry. Source: Alexandria, functional PBE-GGA.

a = 4.6838 Å, b = 4.6838 Å, c = 4.6838 Å
α = 90.00°, β = 90.00°, γ = 90.00°
Last column: nearest neighbours and their distance in Å.
Fractional positions:
Ru (0.0000, 0.0000, 0.0000)  6 Ti 2.34
Zr (0.5000, 0.5000, 0.5000)  12 Ti 3.31
Ti (0.5000, 0.0000, 0.0000)  2 Ru 2.34
Ti (0.0000, 0.0000, 0.5000)  2 Ru 2.34
Ti (0.0000, 0.5000, 0.0000)  2 Ru 2.34

Crystal system: cubic



Stability, lowest: arrangement A



Arrangement A

Crystalline Zr3TiRu at its relaxed geometry. Source: Alexandria, functional PBE-GGA.

a = 4.9834 Å, b = 4.9834 Å, c = 4.9834 Å
α = 90.00°, β = 90.00°, γ = 90.00°
Last column: nearest neighbours and their distance in Å.
Fractional positions:
Zr (0.5000, 0.0000, 0.0000)  2 Ru 2.49
Zr (0.0000, 0.0000, 0.5000)  2 Ru 2.49
Zr (0.0000, 0.5000, 0.0000)  2 Ru 2.49
Ti (0.5000, 0.5000, 0.5000)  12 Zr 3.52
Ru (0.0000, 0.0000, 0.0000)  6 Zr 2.49

Crystal system: cubic



Arrangement B

Crystalline Zr3TiRu at its relaxed geometry. Source: Alexandria, functional PBE-GGA.

a = 4.8150 Å, b = 4.8150 Å, c = 4.8150 Å
α = 90.00°, β = 90.00°, γ = 90.00°
Last column: nearest neighbours and their distance in Å.
Fractional positions:
Ti (0.0000, 0.0000, 0.0000)  6 Zr 2.41
Zr (0.5000, 0.0000, 0.0000)  2 Ti 2.41
Zr (0.0000, 0.5000, 0.0000)  2 Ti 2.41
Zr (0.0000, 0.0000, 0.5000)  2 Ti 2.41
Ru (0.5000, 0.5000, 0.5000)  12 Zr 3.40

Crystal system: cubic



Stability, lowest: arrangement B